First-principles (PBE) data for a relaxed Tm4Sb2Se crystal, as listed in Alexandria.

POSCAR file:
```
Tm4Sb2Se
1.0
15.467 0.000 0.000
0.000 4.107 0.000
-3.184 0.000 6.350
Tm Sb Se
8 4 2
Direct
0.112 0.000 0.448
0.121 0.500 0.958
0.379 0.000 0.042
0.388 0.500 0.552
0.612 0.500 0.448
0.621 0.000 0.958
0.879 0.500 0.042
0.888 0.000 0.552
0.244 0.500 0.736
0.256 0.000 0.264
0.744 0.000 0.736
0.756 0.500 0.264
0.000 0.000 0.000
0.500 0.500 0.000
```

Computed properties:
**Space group**: C2/m, No. 12
**Formation energy (no corrections)**: -0.881 eV/atom
**Total DFT energy (no corrections)**: -71.565 eV/cell

First-principles (PBE) data for a relaxed CsSb2O crystal, as listed in Alexandria.

POSCAR file:
```
CsSb2O
1.0
7.303 0.000 0.000
0.000 7.303 0.000
0.000 0.000 10.367
Cs Sb O
4 8 4
Direct
0.000 0.250 0.375
0.000 0.750 0.625
0.500 0.250 0.125
0.500 0.750 0.875
0.000 0.000 0.000
0.000 0.500 0.000
0.250 0.250 0.750
0.250 0.750 0.250
0.500 0.000 0.500
0.500 0.500 0.500
0.750 0.250 0.750
0.750 0.750 0.250
0.000 0.250 0.875
0.000 0.750 0.125
0.500 0.250 0.625
0.500 0.750 0.375
```

Computed properties:
**Space group**: I4_1/amd, No. 141
**Formation energy (no corrections)**: -0.383 eV/atom
**Total DFT energy (no corrections)**: -62.359 eV/cell

First-principles (PBE) data for a relaxed MnCo2Tc crystal, as listed in Alexandria.

POSCAR file:
```
MnCo2Tc
1.0
2.569 0.000 0.000
-1.284 2.224 0.000
0.000 0.000 24.646
Mn Co Tc
3 6 3
Direct
0.000 0.000 0.000
0.333 0.667 0.667
0.667 0.333 0.333
0.000 0.000 0.253
0.000 0.000 0.747
0.333 0.667 0.414
0.333 0.667 0.920
0.667 0.333 0.080
0.667 0.333 0.586
0.000 0.000 0.500
0.333 0.667 0.167
0.667 0.333 0.833
```

Computed properties:
**Space group**: R-3m, No. 166
**Energy of formation from the pure elements**: 0.19 eV per atom
**Excess energy over the best structure of this formula in the dataset**: 176 meV/atom
**Total DFT energy (no corrections)**: -98.992 eV/cell

First-principles (PBE) data for a relaxed La6Sm12Mg crystal, as listed in Alexandria.

POSCAR file:
```
La6Sm12Mg
1.0
6.681 3.857 4.388
-6.681 3.857 4.388
0.000 -7.714 4.388
La Sm Mg
6 12 1
Direct
0.091 0.366 0.364
0.364 0.091 0.366
0.366 0.364 0.091
0.634 0.636 0.909
0.636 0.909 0.634
0.909 0.634 0.636
0.086 0.087 0.669
0.087 0.669 0.086
0.239 0.499 0.761
0.239 0.761 0.501
0.331 0.914 0.913
0.499 0.761 0.239
0.501 0.239 0.761
0.669 0.086 0.087
0.761 0.239 0.499
0.761 0.501 0.239
0.913 0.331 0.914
0.914 0.913 0.331
0.500 0.500 0.500
```

Computed properties:
**Space group**: R-3, No. 148
**Energy of formation from the pure elements**: 0.12 eV per atom
**Total DFT energy (no corrections)**: -85.550 eV/cell

First-principles (PBE) data for a relaxed Pm3NdHo2S6 crystal, as listed in Alexandria.

POSCAR file:
```
Pm3NdHo2S6
1.0
3.447 -5.989 0.000
3.447 5.989 0.000
-2.303 0.000 6.529
Pm Nd Ho S
3 1 2 6
Direct
0.000 0.000 0.000
0.338 0.662 0.000
0.662 0.338 0.000
0.500 0.500 0.500
0.166 0.834 0.500
0.834 0.166 0.500
0.075 0.419 0.257
0.236 0.236 0.739
0.419 0.075 0.257
0.581 0.925 0.743
0.764 0.764 0.261
0.925 0.581 0.743
```

Computed properties:
**Space group**: C2/m, No. 12
**Formation energy (no corrections)**: -2.015 eV/atom
**Total DFT energy (no corrections)**: -77.125 eV/cell

First-principles (PBE) data for a relaxed LiPaAgBi crystal, as listed in Alexandria.

POSCAR file:
```
LiPaAgBi
1.0
7.293 0.000 0.000
0.000 7.293 0.000
0.000 0.000 7.293
Li Pa Ag Bi
4 4 4 4
Direct
0.000 0.000 0.000
0.000 0.500 0.500
0.500 0.000 0.500
0.500 0.500 0.000
0.000 0.000 0.500
0.000 0.500 0.000
0.500 0.000 0.000
0.500 0.500 0.500
0.250 0.250 0.750
0.250 0.750 0.250
0.750 0.250 0.250
0.750 0.750 0.750
0.250 0.250 0.250
0.250 0.750 0.750
0.750 0.250 0.750
0.750 0.750 0.250
```

Computed properties:
**Space group**: F-43m, No. 216
**Energy of formation from the pure elements**: 0.00 eV per atom
**Total DFT energy (no corrections)**: -72.502 eV/cell

First-principles (PBE) data for a relaxed Ti2NbRu4 crystal, as listed in Alexandria.

POSCAR file:
```
Ti2NbRu4
1.0
6.116 0.000 0.000
0.000 6.116 0.000
0.000 0.000 6.067
Ti Nb Ru
4 2 8
Direct
0.000 0.500 0.000
0.000 0.500 0.500
0.500 0.000 0.000
0.500 0.000 0.500
0.000 0.000 0.000
0.500 0.500 0.500
0.250 0.250 0.250
0.250 0.250 0.750
0.250 0.750 0.250
0.250 0.750 0.750
0.750 0.250 0.250
0.750 0.250 0.750
0.750 0.750 0.250
0.750 0.750 0.750
```

Computed properties:
**Space group**: I4/mmm, No. 139
**Energy of formation from the pure elements**: -0.13 eV per atom
**Total DFT energy (no corrections)**: -127.681 eV/cell

First-principles (PBE) data for a relaxed AgTe4Mo crystal, as listed in Alexandria.

POSCAR file:
```
AgTe4Mo
1.0
4.971 0.000 0.000
-1.179 5.240 0.000
-0.986 -0.877 6.478
Ag Te Mo
1 4 1
Direct
0.000 0.000 0.000
0.179 0.551 0.141
0.182 0.007 0.595
0.575 0.680 0.687
0.608 0.150 0.285
0.757 0.686 0.322
```

Computed properties:
**Space group**: P1, No. 1
**Formation energy (no corrections)**: 0.121 eV/atom
**Excess energy over the best structure of this formula in the dataset**: 0 meV/atom
**Total DFT energy (no corrections)**: -25.521 eV/cell

First-principles (PBE) data for a relaxed TaCu2 crystal, as listed in Alexandria.

POSCAR file:
```
TaCu2
1.0
2.764 0.000 0.000
-1.382 2.394 0.000
0.000 0.000 6.624
Ta Cu
1 2
Direct
0.000 0.000 0.000
0.333 0.667 0.654
0.667 0.333 0.346
```

Computed properties:
**Space group**: P-3m1, No. 164
**Energy of formation from the pure elements**: 0.22 eV per atom
**Total DFT energy (no corrections)**: -19.377 eV/cell

First-principles (PBE) data for a relaxed K2ZnTe2 crystal, as listed in Alexandria.

POSCAR file:
```
K2ZnTe2
1.0
2.256 -10.707 0.000
2.256 10.707 0.000
0.000 0.000 7.935
K Zn Te
4 2 4
Direct
0.023 0.977 0.500
0.198 0.802 0.273
0.802 0.198 0.773
0.977 0.023 0.000
0.369 0.631 0.409
0.631 0.369 0.909
0.166 0.834 0.753
0.423 0.577 0.696
0.577 0.423 0.196
0.834 0.166 0.253
```

Computed properties:
**Space group**: Cmc2_1, No. 36
**Formation energy (no corrections)**: -0.831 eV/atom
**Excess energy over the best structure of this formula in the dataset**: 47 meV/atom
**Total DFT energy (no corrections)**: -27.811 eV/cell

First-principles (PBE) data for a relaxed NaPmMg2Tl4 crystal, as listed in Alexandria.

POSCAR file:
```
NaPmMg2Tl4
1.0
2.637 1.522 8.680
-2.637 1.522 8.680
0.000 -3.045 8.680
Na Pm Mg Tl
1 1 2 4
Direct
0.000 0.000 0.000
0.500 0.500 0.500
0.249 0.249 0.249
0.751 0.751 0.751
0.121 0.121 0.121
0.372 0.372 0.372
0.628 0.628 0.628
0.879 0.879 0.879
```

Computed properties:
**Space group**: R-3m, No. 166
**Energy of formation from the pure elements**: -0.19 eV per atom
**Total DFT energy (no corrections)**: -20.279 eV/cell

First-principles (PBE) data for a relaxed Sr2DyAgHg6 crystal, as listed in Alexandria.

POSCAR file:
```
Sr2DyAgHg6
1.0
0.000 5.564 5.564
5.564 0.000 5.564
5.564 5.564 0.000
Sr Dy Ag Hg
2 1 1 6
Direct
0.250 0.250 0.250
0.750 0.750 0.750
0.000 0.000 0.000
0.500 0.500 0.500
0.257 0.257 0.743
0.257 0.743 0.257
0.257 0.743 0.743
0.743 0.257 0.257
0.743 0.257 0.743
0.743 0.743 0.257
```

Computed properties:
**Space group**: Fm-3m, No. 225
**Energy of formation from the pure elements**: -0.13 eV per atom
**Total DFT energy (no corrections)**: -13.929 eV/cell

First-principles (PBE) data for a relaxed K2SrGeCl6 crystal, as listed in Alexandria.

POSCAR file:
```
K2SrGeCl6
1.0
3.789 2.188 6.359
-3.789 2.188 6.359
0.000 -4.375 6.359
K Sr Ge Cl
2 1 1 6
Direct
0.000 0.000 0.000
0.499 0.499 0.499
0.219 0.219 0.219
0.717 0.717 0.717
0.054 0.458 0.863
0.381 0.937 0.573
0.458 0.863 0.054
0.573 0.381 0.937
0.863 0.054 0.458
0.937 0.573 0.381
```

Computed properties:
**Space group**: R3, No. 146
**Formation energy (no corrections)**: -1.757 eV/atom
**Total DFT energy (no corrections)**: -37.145 eV/cell

First-principles (PBE) data for a relaxed LaGeAu crystal, as listed in Alexandria.

POSCAR file:
```
LaGeAu
1.0
4.178 0.000 0.000
0.000 4.178 0.000
0.000 0.000 8.775
La Ge Au
2 2 2
Direct
0.000 0.000 0.000
0.500 0.500 0.500
0.000 0.000 0.345
0.500 0.500 0.845
0.000 0.000 0.651
0.500 0.500 0.151
```

Computed properties:
**Space group**: I4mm, No. 107
**Energy of formation from the pure elements**: -0.46 eV per atom
**Total DFT energy (no corrections)**: -28.379 eV/cell

First-principles (PBE) data for a relaxed Tb6GaTe2 crystal, as listed in Alexandria.

POSCAR file:
```
Tb6GaTe2
1.0
6.964 0.000 0.000
0.000 6.964 0.000
0.000 0.000 12.895
Tb Ga Te
12 2 4
Direct
0.198 0.198 0.161
0.198 0.198 0.839
0.218 0.218 0.500
0.282 0.718 0.000
0.302 0.698 0.339
0.302 0.698 0.661
0.698 0.302 0.339
0.698 0.302 0.661
0.718 0.282 0.000
0.782 0.782 0.500
0.802 0.802 0.161
0.802 0.802 0.839
0.000 0.000 0.000
0.500 0.500 0.500
0.000 0.000 0.337
0.000 0.000 0.663
0.500 0.500 0.163
0.500 0.500 0.837
```

Computed properties:
**Space group**: P4_2/mnm, No. 136
**Formation energy (no corrections)**: -0.412 eV/atom
**Total DFT energy (no corrections)**: -81.606 eV/cell

First-principles (PBE) data for a relaxed Th5Tl3Se12 crystal, as listed in Alexandria.

POSCAR file:
```
Th5Tl3Se12
1.0
-9.028 9.028 9.028
9.028 -9.028 9.028
9.028 9.028 -9.028
Th Tl Se
20 12 48
Direct
0.000 0.000 0.000
0.000 0.000 0.500
0.000 0.500 0.000
0.000 0.500 0.500
0.125 0.750 0.875
0.125 0.875 0.250
0.250 0.125 0.875
0.250 0.625 0.375
0.375 0.250 0.625
0.375 0.625 0.750
0.500 0.000 0.000
0.500 0.000 0.500
0.500 0.500 0.000
0.500 0.500 0.500
0.625 0.375 0.250
0.625 0.750 0.375
0.750 0.375 0.625
0.750 0.875 0.125
0.875 0.125 0.750
0.875 0.250 0.125
0.125 0.250 0.375
0.125 0.375 0.750
0.250 0.375 0.125
0.250 0.875 0.625
0.375 0.125 0.250
0.375 0.750 0.125
0.625 0.250 0.875
0.625 0.875 0.750
0.750 0.125 0.375
0.750 0.625 0.875
0.875 0.625 0.250
0.875 0.750 0.625
0.030 0.207 0.114
0.030 0.323 0.916
0.084 0.614 0.407
0.084 0.970 0.677
0.093 0.707 0.677
0.093 0.886 0.416
0.114 0.030 0.207
0.114 0.584 0.907
0.177 0.207 0.593
0.177 0.470 0.584
0.207 0.114 0.030
0.207 0.593 0.177
0.293 0.323 0.907
0.293 0.470 0.386
0.323 0.907 0.293
0.323 0.916 0.030
0.386 0.293 0.470
0.386 0.593 0.916
0.407 0.084 0.614
0.407 0.823 0.793
0.416 0.093 0.886
0.416 0.823 0.530
0.470 0.386 0.293
0.470 0.584 0.177
0.530 0.416 0.823
0.530 0.614 0.707
0.584 0.177 0.470
0.584 0.907 0.114
0.593 0.177 0.207
0.593 0.916 0.386
0.614 0.407 0.084
0.614 0.707 0.530
0.677 0.084 0.970
0.677 0.093 0.707
0.707 0.530 0.614
0.707 0.677 0.093
0.793 0.407 0.823
0.793 0.886 0.970
0.823 0.530 0.416
0.823 0.793 0.407
0.886 0.416 0.093
0.886 0.970 0.793
0.907 0.114 0.584
0.907 0.293 0.323
0.916 0.030 0.323
0.916 0.386 0.593
0.970 0.677 0.084
0.970 0.793 0.886
```

Computed properties:
**Space group**: Ia-3d, No. 230
**Formation energy (no corrections)**: -1.147 eV/atom
**Total DFT energy (no corrections)**: -435.825 eV/cell

First-principles (PBE) data for a relaxed Pm3Ge crystal, as listed in Alexandria.

POSCAR file:
```
Pm3Ge
1.0
12.384 0.000 0.000
0.000 12.384 0.000
0.000 0.000 6.115
Pm Ge
24 8
Direct
0.030 0.572 0.241
0.072 0.970 0.741
0.113 0.219 0.018
0.137 0.667 0.729
0.167 0.863 0.229
0.219 0.387 0.482
0.281 0.113 0.482
0.333 0.637 0.229
0.363 0.833 0.729
0.387 0.281 0.018
0.428 0.530 0.741
0.470 0.928 0.241
0.530 0.072 0.759
0.572 0.470 0.259
0.613 0.719 0.982
0.637 0.167 0.271
0.667 0.363 0.771
0.719 0.887 0.518
0.781 0.613 0.518
0.833 0.137 0.771
0.863 0.333 0.271
0.887 0.781 0.982
0.928 0.030 0.259
0.970 0.428 0.759
0.048 0.208 0.527
0.208 0.452 0.973
0.292 0.048 0.973
0.452 0.292 0.527
0.548 0.708 0.473
0.708 0.952 0.027
0.792 0.548 0.027
0.952 0.792 0.473
```

Computed properties:
**Space group**: P4_2/n, No. 86
**Energy of formation from the pure elements**: -0.46 eV per atom
**Excess energy over the best structure of this formula in the dataset**: 0 meV/atom
**Total DFT energy (no corrections)**: -165.530 eV/cell